(1)
Below is K2BaSrBr at its PBEsol-relaxed geometry, with properties calculated at the SCAN level.

Calculated values
- uncorrected energy (eV/cell) = -100.753
- DOS at the Fermi energy (states/eV per atom) = 0.557

Lattice parameters (Å, degrees): 6.281 6.545 6.545 90.00 90.00 90.00
Last column: magnetic moment on the atom in μB.
Positions (direct):
Sr1 0.500 0.000 0.000  0.03
Br1 0.000 0.000 0.000  0.01
K1 0.000 0.000 0.500  0.02
K2 0.000 0.500 0.000  0.02
Ba1 0.500 0.500 0.500  0.11

=====

(2)
Below is BaLa2Br at its PBEsol-relaxed geometry, with properties calculated at the SCAN level.

Calculated values
- uncorrected energy (eV/cell) = -147.279
- DOS at the Fermi energy (states/eV per atom) = 0.963
- relative energy among the computed polymorphs (meV/atom) = 75

Lattice parameters (Å, degrees): 3.893 5.510 6.422 90.00 90.00 92.99
Positions (direct):
La1 0.331 0.254 0.000
La2 0.669 0.746 0.000
Br1 0.500 0.000 0.500
Ba1 0.000 0.500 0.500

=====

(3)
Below is BaLa2Br at its PBEsol-relaxed geometry, with properties calculated at the SCAN level.

Calculated values
- uncorrected energy (eV/cell) = -147.578
- DOS at the Fermi energy (states/eV per atom) = 1.039
- relative energy among the computed polymorphs (meV/atom) = 0

Lattice parameters (Å, degrees): 3.835 3.835 11.214 80.15 80.15 60.00
Positions (direct):
La1 0.736 0.736 0.793
La2 0.264 0.264 0.207
Ba1 0.500 0.500 0.500
Br1 0.000 0.000 0.000

=====

(4)
Below is BaLa2Br at its PBEsol-relaxed geometry, with properties calculated at the SCAN level.

Calculated values
- uncorrected energy (eV/cell) = -146.940
- DOS at the Fermi energy (states/eV per atom) = 1.198
- relative energy among the computed polymorphs (meV/atom) = 159

Lattice parameters (Å, degrees): 3.644 5.184 7.697 109.68 103.69 90.00
Positions (direct):
La1 0.753 0.253 0.506
La2 0.944 0.944 0.887
Br1 0.255 0.755 0.510
Ba1 0.549 0.549 0.097

=====

(5)
Below is BaLaBr3 at its PBEsol-relaxed geometry, with properties calculated at the SCAN level.

Calculated values
- uncorrected energy (eV/cell) = -148.885
- DOS at the Fermi energy (states/eV per atom) = 1.001

Lattice parameters (Å, degrees): 5.764 5.764 5.764 90.00 90.00 90.00
Positions (direct):
Ba1 0.500 0.500 0.500
Br1 0.000 0.500 0.000
Br2 0.000 0.000 0.500
Br3 0.500 0.000 0.000
La1 0.000 0.000 0.000

=====

(6)
Below is BaLa2Br at its PBEsol-relaxed geometry, with properties calculated at the SCAN level.

Calculated values
- uncorrected energy (eV/cell) = -146.981
- DOS at the Fermi energy (states/eV per atom) = 1.066
- relative energy among the computed polymorphs (meV/atom) = 149

Lattice parameters (Å, degrees): 3.647 5.806 6.321 90.00 90.00 90.00
Positions (direct):
La1 0.000 0.000 0.000
La2 0.500 0.500 0.000
Br1 0.000 0.500 0.500
Ba1 0.500 0.000 0.500

=====

(7)
Below is BaLa2Br at its PBEsol-relaxed geometry, with properties calculated at the SCAN level.

Calculated values
- uncorrected energy (eV/cell) = -147.274
- DOS at the Fermi energy (states/eV per atom) = 1.069
- relative energy among the computed polymorphs (meV/atom) = 76

Lattice parameters (Å, degrees): 3.721 3.721 11.459 90.00 90.00 116.17
Positions (direct):
La1 0.000 0.000 0.211
La2 0.000 0.000 0.789
Br1 0.500 0.500 0.000
Ba1 0.500 0.500 0.500

=====

(8)
Below is BaLi2Br at its PBEsol-relaxed geometry, with properties calculated at the SCAN level.

Calculated values
- uncorrected energy (eV/cell) = -66.481
- DOS at the Fermi energy (states/eV per atom) = 0.458

Lattice parameters (Å, degrees): 3.768 5.301 7.176 111.63 105.22 90.00
Positions (direct):
Ba1 0.000 0.500 0.000
Li1 0.775 0.775 0.550
Li2 0.225 0.225 0.450
Br1 0.500 0.000 0.000

=====

(9)
Below is Ba2LiBr at its PBEsol-relaxed geometry, with properties calculated at the SCAN level.

Calculated values
- uncorrected energy (eV/cell) = -104.145
- DOS at the Fermi energy (states/eV per atom) = 0.509

Lattice parameters (Å, degrees): 4.808 4.813 6.892 90.00 90.00 90.00
Last column: magnetic moment on the atom in μB.
Positions (direct):
Br1 0.000 0.000 0.000  0.02
Ba1 0.500 0.500 0.000  0.18
Ba2 0.000 0.000 0.500  0.17
Li1 0.500 0.500 0.500  0.04

=====

(10)
Below is BaLiBr2 at its PBEsol-relaxed geometry, with properties calculated at the SCAN level.

Calculated values
- uncorrected energy (eV/cell) = -86.750
- DOS at the Fermi energy (states/eV per atom) = 0.288
- relative energy among the computed polymorphs (meV/atom) = 47

Lattice parameters (Å, degrees): 5.503 5.503 5.503 60.00 60.00 60.00
Last column: magnetic moment on the atom in μB.
Positions (direct):
Ba1 0.000 0.000 0.000  0.14
Br1 0.750 0.750 0.750  0.04
Br2 0.250 0.250 0.250  0.04
Li1 0.500 0.500 0.500  0.04

=====

(11)
Below is BaLiBr2 at its PBEsol-relaxed geometry, with properties calculated at the SCAN level.

Calculated values
- uncorrected energy (eV/cell) = -86.938
- DOS at the Fermi energy (states/eV per atom) = 0.288
- relative energy among the computed polymorphs (meV/atom) = 0

Lattice parameters (Å, degrees): 4.034 5.198 5.198 90.00 90.00 90.00
Positions (direct):
Br1 0.000 0.500 0.000
Br2 0.000 0.000 0.500
Ba1 0.500 0.000 0.000
Li1 0.500 0.500 0.500

=====

(12)
Below is BaLiSeBr2 at its PBEsol-relaxed geometry, with properties calculated at the SCAN level.

Calculated values
- uncorrected energy (eV/cell) = -106.536
- DOS at the Fermi energy (states/eV per atom) = 1.248

Lattice parameters (Å, degrees): 6.177 6.177 6.139 90.00 90.00 90.00
Last column: magnetic moment on the atom in μB.
Positions (direct):
Br1 0.000 0.500 0.000  0.03
Br2 0.500 0.000 0.000  0.03
Se1 0.000 0.000 0.500  0.52
Li1 0.500 0.500 0.500  0.00
Ba1 0.000 0.000 0.000  0.02